SnPN3 | PBE | relaxed

abc: 3.6077 3.6077 3.6077
angles: 90.00 90.00 90.00
Space group Pm-3m (No. 221)
One atom of each set of equivalent atoms:
Sn: 0.0000 0.0000 0.0000 (multiplicity 1)
P: 0.5000 0.5000 0.5000 (multiplicity 1)
N: 0.0000 0.5000 0.5000 (multiplicity 3)

N(E_F)	2.2	states/eV/cell
E	-30.07	eV per cell